Record 1
# SmBi3Pd12

A relaxed structure of SmBi3Pd12 (GGA-PBE, Alexandria via LeMat-Bulk).

Geometry as extended XYZ:
```
16
Lattice="4.156 0.000 0.000 0.000 4.156 0.000 0.000 0.000 16.507" Properties=species:S:1:pos:R:3 pbc="T T T"
Sm 0.000 0.000 0.000
Bi 0.000 0.000 4.118
Bi 0.000 0.000 8.254
Bi 0.000 0.000 12.389
Pd 0.000 2.078 2.100
Pd 0.000 2.078 6.201
Pd 0.000 2.078 10.307
Pd 0.000 2.078 14.407
Pd 2.078 0.000 2.100
Pd 2.078 0.000 6.201
Pd 2.078 0.000 10.307
Pd 2.078 0.000 14.407
Pd 2.078 2.078 0.000
Pd 2.078 2.078 4.195
Pd 2.078 2.078 8.254
Pd 2.078 2.078 12.312
```

Values from the calculation:
The total energy is -84.8 eV/cell. Its density is 11.96 g/cm³. As for the energy of formation from the pure elements: -380 meV/atom.

---

Record 2
# AcTbSmY

A relaxed structure of AcTbSmY (GGA-PBE, Alexandria via LeMat-Bulk).

Geometry as extended XYZ:
```
4
Lattice="0.000 4.152 4.152 4.152 0.000 4.152 4.152 4.152 0.000" Properties=species:S:1:pos:R:3 pbc="T T T"
Ac 0.000 0.000 0.000
Tb 6.229 6.229 6.229
Sm 4.152 4.152 4.152
Y 2.076 2.076 2.076
```

Values from the calculation:
The total energy is -19.4 eV/cell. Its density is 7.25 g/cm³. As for the energy of formation from the pure elements: 118 meV/atom. The energy above the most stable polymorph in this dataset comes out at 0.000 eV/atom.

---

Record 3
# La8Tm3Th

A relaxed structure of La8Tm3Th (GGA-PBE, Alexandria via LeMat-Bulk).

Geometry as extended XYZ:
```
12
Lattice="-3.239 5.728 6.021 3.239 -5.728 6.021 3.239 5.728 -6.021" Properties=species:S:1:pos:R:3 pbc="T T T"
La 3.114 3.950 -3.012
La 1.687 2.725 -0.393
La 4.792 2.725 0.393
La 0.125 1.778 3.008
La 3.365 3.950 3.012
La 1.553 3.003 5.628
La -1.553 3.003 6.413
La -0.125 1.778 9.033
Tm 0.000 0.000 0.000
Tm 3.239 0.000 3.990
Tm 0.000 5.728 2.031
Th 0.000 0.000 6.021
```

Values from the calculation:
The total energy is -56.1 eV/cell. Its density is 6.88 g/cm³. As for the energy of formation from the pure elements: 344 meV/atom.

---

Record 4
# CaBiTeW2

A relaxed structure of CaBiTeW2 (GGA-PBE, Alexandria via LeMat-Bulk).

Geometry as extended XYZ:
```
5
Lattice="4.988 0.000 0.000 0.000 4.988 0.000 0.000 0.000 5.909" Properties=species:S:1:pos:R:3 pbc="T T T"
Ca 0.000 0.000 0.000
Bi 2.494 2.494 0.000
Te 2.494 2.494 2.955
W 0.000 2.494 2.955
W 2.494 0.000 2.955
```

Values from the calculation:
The total energy is -26.6 eV/cell. Its density is 8.41 g/cm³.

---

Record 5
# Sc2Al2Si2C

A relaxed structure of Sc2Al2Si2C (GGA-PBE, Alexandria via LeMat-Bulk).

Geometry as extended XYZ:
```
7
Lattice="-2.000 2.000 6.967 2.000 -2.000 6.967 2.000 2.000 -6.967" Properties=species:S:1:pos:R:3 pbc="T T T"
Sc 0.000 0.000 2.246
Sc 0.000 0.000 11.688
Al 2.000 0.000 0.000
Al 0.000 2.000 0.000
Si 0.000 0.000 5.065
Si 0.000 0.000 8.870
C 0.000 0.000 0.000
```

Values from the calculation:
The total energy is -43.2 eV/cell. Its density is 3.16 g/cm³.

---

Record 6
# SrTe4Os

A relaxed structure of SrTe4Os (GGA-PBE, Alexandria via LeMat-Bulk).

Geometry as extended XYZ:
```
6
Lattice="0.000 4.495 4.495 4.495 0.000 4.495 4.495 4.495 0.000" Properties=species:S:1:pos:R:3 pbc="T T T"
Sr 0.000 0.000 0.000
Te 5.609 3.381 3.381
Te 3.381 5.609 3.381
Te 3.381 3.381 5.609
Te 5.609 5.609 5.609
Os 2.248 2.248 2.248
```

Values from the calculation:
The total energy is -21.0 eV/cell. Its density is 7.21 g/cm³.